First-principles (GGA-PBE) data for a geometry-optimized HoNi2As structure, as listed in Alexandria via LeMat-Bulk.

abc: 3.7996 3.7996 9.0579
angles: 90.00 90.00 90.00
Last column: nearest neighbours and their distance in Å.
Element x y z (fractional)
1 Ho 0.2500 0.2500 0.2188  5 Ni 2.69-2.97, 4 As 2.91
2 Ho 0.7500 0.7500 0.7812  5 Ni 2.69-2.97, 4 As 2.91
3 Ni 0.2500 0.2500 0.9222  1 As 2.40
4 Ni 0.2500 0.7500 0.5000  4 As 2.38
5 Ni 0.7500 0.2500 0.5000  4 As 2.38
6 Ni 0.7500 0.7500 0.0778  1 As 2.40
7 As 0.2500 0.2500 0.6574  5 Ni 2.38-2.40
8 As 0.7500 0.7500 0.3426  5 Ni 2.38-2.40

Properties
For the total energy, the calculation gives -5.7955 eV per atom. The energy relative to the elements comes out at -0.598 eV/atom. The value obtained for the density of states at the Fermi level is 0.815 states/eV per atom. The space group is P4/nmm, No. 129. As for the total magnetic moment: 0.0 μB/cell.